Version one
# Sr2Sn2Au PBE optimized geometry
data_Sr2Sn2Au
_space_group_name_H-M_alt 'P 1'
_space_group_IT_number 1
_space_group_name_Hall 'P 1'
_cell_length_a 8.712
_cell_length_b 8.712
_cell_length_c 4.742
_cell_angle_alpha 90.00
_cell_angle_beta 90.00
_cell_angle_gamma 90.00
loop_
_atom_site_label
_atom_site_type_symbol
_atom_site_fract_x
_atom_site_fract_y
_atom_site_fract_z
Sr1 Sr 0.316 0.816 0.000
Sr2 Sr 0.816 0.684 0.000
Sr3 Sr 0.684 0.184 0.000
Sr4 Sr 0.184 0.316 0.000
Au1 Au 0.000 0.000 0.000
Au2 Au 0.500 0.500 0.000
Sn1 Sn 0.111 0.611 0.500
Sn2 Sn 0.611 0.889 0.500
Sn3 Sn 0.889 0.389 0.500
Sn4 Sn 0.389 0.111 0.500
# **Volume**: 359.94 Å³ per cell
# **Density of states at the Fermi level**: 0.331 states/eV/atom
# **Theoretical density**: 5.6 g/cm3
# **Space group**: P4/mbm (127)

=====

Version two
# Sr2Sn2Au PBE optimized geometry
data_Sr2Sn2Au
_space_group_name_H-M_alt 'P 1'
_space_group_IT_number 1
_space_group_name_Hall 'P 1'
_cell_length_a 7.663
_cell_length_b 7.663
_cell_length_c 5.157
_cell_angle_alpha 90.00
_cell_angle_beta 90.00
_cell_angle_gamma 90.00
loop_
_atom_site_label
_atom_site_type_symbol
_atom_site_fract_x
_atom_site_fract_y
_atom_site_fract_z
Sr1 Sr 0.166 0.666 0.500
Sr2 Sr 0.666 0.834 0.500
Sr3 Sr 0.834 0.334 0.500
Sr4 Sr 0.334 0.166 0.500
Au1 Au 0.000 0.000 0.000
Au2 Au 0.500 0.500 0.000
Sn1 Sn 0.358 0.858 0.000
Sn2 Sn 0.858 0.642 0.000
Sn3 Sn 0.642 0.142 0.000
Sn4 Sn 0.142 0.358 0.000
# **Volume**: 302.85 Å³ per cell
# **Density of states at the Fermi level**: 0.429 states/eV/atom
# **Theoretical density**: 6.7 g/cm3
# **Space group**: P4/mbm (127)

=====

Which structure wins on stability? version two wins.

=====

Version one
# Sr2Sn3Au2 PBE optimized geometry
data_Sr2Sn3Au2
_space_group_name_H-M_alt 'P 1'
_space_group_IT_number 1
_space_group_name_Hall 'P 1'
_cell_length_a 4.615
_cell_length_b 6.104
_cell_length_c 7.867
_cell_angle_alpha 108.49
_cell_angle_beta 90.00
_cell_angle_gamma 112.21
loop_
_atom_site_label
_atom_site_type_symbol
_atom_site_fract_x
_atom_site_fract_y
_atom_site_fract_z
Sr1 Sr 0.852 0.704 0.202
Sr2 Sr 0.148 0.296 0.798
Sn1 Sn 0.500 0.000 0.000
Sn2 Sn 0.617 0.234 0.443
Sn3 Sn 0.383 0.766 0.557
Au1 Au 0.846 0.692 0.752
Au2 Au 0.154 0.308 0.248
# **Volume**: 192.75 Å³ per cell
# **Density of states at the Fermi level**: 0.649 states/eV/atom
# **Theoretical density**: 8.0 g/cm3
# **Space group**: C2/m (12)

=====

Version two
# Sr2Sn3Au2 PBE optimized geometry
data_Sr2Sn3Au2
_space_group_name_H-M_alt 'P 1'
_space_group_IT_number 1
_space_group_name_Hall 'P 1'
_cell_length_a 4.858
_cell_length_b 7.580
_cell_length_c 10.849
_cell_angle_alpha 90.00
_cell_angle_beta 102.94
_cell_angle_gamma 90.00
loop_
_atom_site_label
_atom_site_type_symbol
_atom_site_fract_x
_atom_site_fract_y
_atom_site_fract_z
Sr1 Sr 0.163 0.250 0.325
Sr2 Sr 0.837 0.750 0.675
Sr3 Sr 0.944 0.250 0.889
Sr4 Sr 0.056 0.750 0.111
Sn1 Sn 0.225 0.750 0.449
Sn2 Sn 0.775 0.250 0.551
Sn3 Sn 0.564 0.437 0.128
Sn4 Sn 0.436 0.563 0.872
Sn5 Sn 0.436 0.937 0.872
Sn6 Sn 0.564 0.063 0.128
Au1 Au 0.689 0.944 0.379
Au2 Au 0.311 0.056 0.621
Au3 Au 0.311 0.444 0.621
Au4 Au 0.689 0.556 0.379
# **Volume**: 389.35 Å³ per cell
# **Density of states at the Fermi level**: 0.370 states/eV/atom
# **Theoretical density**: 7.9 g/cm3
# **Space group**: Cmcm (63)

=====

Which structure wins on stability? version two wins.

=====

Version one
# SrSn3Au3 PBE optimized geometry
data_SrSn3Au3
_space_group_name_H-M_alt 'P 1'
_space_group_IT_number 1
_space_group_name_Hall 'P 1'
_cell_length_a 4.857
_cell_length_b 8.792
_cell_length_c 9.552
_cell_angle_alpha 119.77
_cell_angle_beta 90.00
_cell_angle_gamma 90.00
loop_
_atom_site_label
_atom_site_type_symbol
_atom_site_fract_x
_atom_site_fract_y
_atom_site_fract_z
Sr1 Sr 0.750 0.349 0.679
Sr2 Sr 0.250 0.651 0.321
Sn1 Sn 0.750 0.785 0.050
Sn2 Sn 0.750 0.263 0.235
Sn3 Sn 0.750 0.964 0.717
Sn4 Sn 0.250 0.215 0.950
Sn5 Sn 0.250 0.737 0.765
Sn6 Sn 0.250 0.036 0.283
Au1 Au 0.750 0.928 0.397
Au2 Au 0.750 0.451 0.059
Au3 Au 0.750 0.602 0.527
Au4 Au 0.250 0.072 0.603
Au5 Au 0.250 0.549 0.941
Au6 Au 0.250 0.398 0.473
# **Volume**: 354.06 Å³ per cell
# **Density of states at the Fermi level**: 0.316 states/eV/atom
# **Theoretical density**: 9.7 g/cm3
# **Space group**: P2_1/m (11)

=====

Version two
# SrSn3Au3 PBE optimized geometry
data_SrSn3Au3
_space_group_name_H-M_alt 'P 1'
_space_group_IT_number 1
_space_group_name_Hall 'P 1'
_cell_length_a 7.616
_cell_length_b 7.616
_cell_length_c 7.616
_cell_angle_alpha 90.00
_cell_angle_beta 90.00
_cell_angle_gamma 90.00
loop_
_atom_site_label
_atom_site_type_symbol
_atom_site_fract_x
_atom_site_fract_y
_atom_site_fract_z
Sr1 Sr 0.500 0.500 0.500
Sr2 Sr 0.000 0.000 0.000
Au1 Au 0.250 0.000 0.500
Au2 Au 0.000 0.500 0.250
Au3 Au 0.500 0.750 0.000
Au4 Au 0.750 0.000 0.500
Au5 Au 0.000 0.500 0.750
Au6 Au 0.500 0.250 0.000
Sn1 Sn 0.000 0.250 0.500
Sn2 Sn 0.000 0.750 0.500
Sn3 Sn 0.500 0.000 0.750
Sn4 Sn 0.750 0.500 0.000
Sn5 Sn 0.500 0.000 0.250
Sn6 Sn 0.250 0.500 0.000
# **Volume**: 441.76 Å³ per cell
# **Density of states at the Fermi level**: 0.416 states/eV/atom
# **Theoretical density**: 7.8 g/cm3
# **Space group**: Pm-3n (223)

=====

Version three
# SrSn3Au3 PBE optimized geometry
data_SrSn3Au3
_space_group_name_H-M_alt 'P 1'
_space_group_IT_number 1
_space_group_name_Hall 'P 1'
_cell_length_a 8.641
_cell_length_b 8.641
_cell_length_c 7.767
_cell_angle_alpha 56.20
_cell_angle_beta 56.20
_cell_angle_gamma 60.00
loop_
_atom_site_label
_atom_site_type_symbol
_atom_site_fract_x
_atom_site_fract_y
_atom_site_fract_z
Sr1 Sr 0.333 0.333 0.001
Sr2 Sr 0.667 0.667 0.999
Sn1 Sn 0.400 0.784 0.723
Sn2 Sn 0.784 0.093 0.723
Sn3 Sn 0.093 0.400 0.723
Sn4 Sn 0.907 0.600 0.277
Sn5 Sn 0.216 0.907 0.277
Sn6 Sn 0.600 0.216 0.277
Au1 Au 0.260 0.572 0.252
Au2 Au 0.916 0.260 0.252
Au3 Au 0.572 0.916 0.252
Au4 Au 0.428 0.084 0.748
Au5 Au 0.084 0.740 0.748
Au6 Au 0.740 0.428 0.748
# **Volume**: 384.95 Å³ per cell
# **Density of states at the Fermi level**: 0.520 states/eV/atom
# **Theoretical density**: 8.9 g/cm3
# **Space group**: R-3 (148)

=====

Which structure wins on stability? version one wins.

=====

Version one
# Sr2Sn3Au5 PBE optimized geometry
data_Sr2Sn3Au5
_space_group_name_H-M_alt 'P 1'
_space_group_IT_number 1
_space_group_name_Hall 'P 1'
_cell_length_a 4.780
_cell_length_b 4.780
_cell_length_c 11.606
_cell_angle_alpha 90.00
_cell_angle_beta 90.00
_cell_angle_gamma 90.00
loop_
_atom_site_label
_atom_site_type_symbol
_atom_site_fract_x
_atom_site_fract_y
_atom_site_fract_z
Sr1 Sr 0.500 0.000 0.204
Sr2 Sr 0.000 0.500 0.796
Sn1 Sn 0.500 0.000 0.643
Sn2 Sn 0.000 0.500 0.357
Sn3 Sn 0.000 0.000 0.500
Au1 Au 0.500 0.500 0.000
Au2 Au 0.000 0.000 0.000
Au3 Au 0.500 0.000 0.872
Au4 Au 0.000 0.500 0.128
Au5 Au 0.500 0.500 0.500
# **Volume**: 265.18 Å³ per cell
# **Density of states at the Fermi level**: 0.353 states/eV/atom
# **Theoretical density**: 9.5 g/cm3
# **Space group**: P-4m2 (115)

=====

Version two
# Sr2Sn3Au5 PBE optimized geometry
data_Sr2Sn3Au5
_space_group_name_H-M_alt 'P 1'
_space_group_IT_number 1
_space_group_name_Hall 'P 1'
_cell_length_a 6.679
_cell_length_b 9.327
_cell_length_c 9.327
_cell_angle_alpha 76.66
_cell_angle_beta 69.02
_cell_angle_gamma 69.02
loop_
_atom_site_label
_atom_site_type_symbol
_atom_site_fract_x
_atom_site_fract_y
_atom_site_fract_z
Sr1 Sr 0.128 0.605 0.139
Sr2 Sr 0.628 0.139 0.605
Sr3 Sr 0.872 0.395 0.861
Sr4 Sr 0.372 0.861 0.395
Sn1 Sn 0.364 0.519 0.753
Sn2 Sn 0.864 0.753 0.519
Sn3 Sn 0.636 0.481 0.247
Sn4 Sn 0.136 0.247 0.481
Sn5 Sn 0.250 0.000 0.000
Sn6 Sn 0.750 0.000 0.000
Au1 Au 0.390 0.264 0.957
Au2 Au 0.890 0.957 0.264
Au3 Au 0.610 0.736 0.043
Au4 Au 0.110 0.043 0.736
Au5 Au 0.479 0.771 0.771
Au6 Au 0.521 0.229 0.229
Au7 Au 0.750 0.500 0.500
Au8 Au 0.250 0.500 0.500
Au9 Au 0.021 0.229 0.229
Au10 Au 0.979 0.771 0.771
# **Volume**: 503.11 Å³ per cell
# **Density of states at the Fermi level**: 0.403 states/eV/atom
# **Theoretical density**: 10.0 g/cm3
# **Space group**: Ibam (72)

=====

Which structure wins on stability? version two wins.

=====

Version one
# Sr2Sn5Au3 PBE optimized geometry
data_Sr2Sn5Au3
_space_group_name_H-M_alt 'P 1'
_space_group_IT_number 1
_space_group_name_Hall 'P 1'
_cell_length_a 6.816
_cell_length_b 9.583
_cell_length_c 9.583
_cell_angle_alpha 75.66
_cell_angle_beta 69.17
_cell_angle_gamma 69.17
loop_
_atom_site_label
_atom_site_type_symbol
_atom_site_fract_x
_atom_site_fract_y
_atom_site_fract_z
Sr1 Sr 0.126 0.626 0.121
Sr2 Sr 0.626 0.121 0.626
Sr3 Sr 0.874 0.374 0.879
Sr4 Sr 0.374 0.879 0.374
Sn1 Sn 0.387 0.250 0.976
Sn2 Sn 0.887 0.976 0.250
Sn3 Sn 0.613 0.750 0.024
Sn4 Sn 0.113 0.024 0.750
Sn5 Sn 0.503 0.747 0.747
Sn6 Sn 0.497 0.253 0.253
Sn7 Sn 0.750 0.500 0.500
Sn8 Sn 0.250 0.500 0.500
Sn9 Sn 0.997 0.253 0.253
Sn10 Sn 0.003 0.747 0.747
Au1 Au 0.373 0.492 0.762
Au2 Au 0.873 0.762 0.492
Au3 Au 0.627 0.508 0.238
Au4 Au 0.127 0.238 0.508
Au5 Au 0.250 0.000 0.000
Au6 Au 0.750 0.000 0.000
# **Volume**: 541.44 Å³ per cell
# **Density of states at the Fermi level**: 0.347 states/eV/atom
# **Theoretical density**: 8.3 g/cm3
# **Space group**: Ibam (72)

=====

Version two
# Sr2Sn5Au3 PBE optimized geometry
data_Sr2Sn5Au3
_space_group_name_H-M_alt 'P 1'
_space_group_IT_number 1
_space_group_name_Hall 'P 1'
_cell_length_a 4.723
_cell_length_b 7.980
_cell_length_c 14.038
_cell_angle_alpha 90.00
_cell_angle_beta 99.68
_cell_angle_gamma 90.00
loop_
_atom_site_label
_atom_site_type_symbol
_atom_site_fract_x
_atom_site_fract_y
_atom_site_fract_z
Sr1 Sr 0.478 0.749 0.956
Sr2 Sr 0.175 0.729 0.350
Sr3 Sr 0.825 0.229 0.650
Sr4 Sr 0.522 0.249 0.044
Sn1 Sn 0.401 0.401 0.801
Sn2 Sn 0.293 0.525 0.586
Sn3 Sn 0.707 0.025 0.414
Sn4 Sn 0.121 0.245 0.243
Sn5 Sn 0.296 0.932 0.592
Sn6 Sn 0.949 0.072 0.899
Sn7 Sn 0.704 0.432 0.408
Sn8 Sn 0.879 0.745 0.757
Sn9 Sn 0.051 0.572 0.101
Sn10 Sn 0.599 0.901 0.199
Au1 Au 0.772 0.727 0.544
Au2 Au 0.606 0.536 0.212
Au3 Au 0.046 0.949 0.093
Au4 Au 0.228 0.227 0.456
Au5 Au 0.954 0.449 0.907
Au6 Au 0.394 0.036 0.788
# **Volume**: 521.53 Å³ per cell
# **Density of states at the Fermi level**: 0.367 states/eV/atom
# **Theoretical density**: 8.7 g/cm3
# **Space group**: Cmc2_1 (36)

=====

Which structure wins on stability? version one wins.

=====

Version one
# TaSnAu3 PBE optimized geometry
data_TaSnAu3
_space_group_name_H-M_alt 'P 1'
_space_group_IT_number 1
_space_group_name_Hall 'P 1'
_cell_length_a 5.059
_cell_length_b 5.059
_cell_length_c 5.059
_cell_angle_alpha 90.00
_cell_angle_beta 90.00
_cell_angle_gamma 90.00
loop_
_atom_site_label
_atom_site_type_symbol
_atom_site_fract_x
_atom_site_fract_y
_atom_site_fract_z
Au1 Au 0.000 0.500 0.000
Au2 Au 0.000 0.000 0.500
Au3 Au 0.500 0.000 0.000
Sn1 Sn 0.000 0.000 0.000
Ta1 Ta 0.500 0.500 0.500
# **Volume**: 129.45 Å³ per cell
# **Density of states at the Fermi level**: 1.126 states/eV/atom
# **Theoretical density**: 11.4 g/cm3
# **Space group**: Pm-3m (221)

=====

Version two
# TaSnAu3 PBE optimized geometry
data_TaSnAu3
_space_group_name_H-M_alt 'P 1'
_space_group_IT_number 1
_space_group_name_Hall 'P 1'
_cell_length_a 5.138
_cell_length_b 5.138
_cell_length_c 5.138
_cell_angle_alpha 90.00
_cell_angle_beta 90.00
_cell_angle_gamma 90.00
loop_
_atom_site_label
_atom_site_type_symbol
_atom_site_fract_x
_atom_site_fract_y
_atom_site_fract_z
Au1 Au 0.000 0.500 0.000
Au2 Au 0.000 0.000 0.500
Au3 Au 0.500 0.000 0.000
Sn1 Sn 0.500 0.500 0.500
Ta1 Ta 0.000 0.000 0.000
# **Volume**: 135.61 Å³ per cell
# **Density of states at the Fermi level**: 1.033 states/eV/atom
# **Theoretical density**: 10.9 g/cm3
# **Space group**: Pm-3m (221)

=====

Which structure wins on stability? version two wins.